Model A:
Ba3In2Pd4 | PBE | relaxed

a b c (Å): 4.718 6.300 9.323
angles (deg): 99.40 90.00 111.99
Positions (direct):
Ba (0.000, 0.000, 0.000)
Ba (0.624, 0.248, 0.386)
Ba (0.376, 0.752, 0.614)
Pd (0.086, 0.172, 0.642)
Pd (0.736, 0.472, 0.086)
Pd (0.914, 0.828, 0.358)
Pd (0.264, 0.528, 0.914)
In (0.679, 0.359, 0.786)
In (0.321, 0.641, 0.214)

Computed properties:
Crystal system: monoclinic
SG: C2/m

---

Model B:
Ba3In2Pd4 | PBE | relaxed

a b c (Å): 4.667 6.637 9.302
angles (deg): 109.50 90.00 110.59
Positions (direct):
Ba (0.374, 0.748, 0.296)
Ba (0.626, 0.252, 0.704)
Ba (0.000, 0.000, 0.000)
In (0.325, 0.651, 0.658)
In (0.675, 0.349, 0.342)
Pd (0.094, 0.188, 0.432)
Pd (0.720, 0.440, 0.072)
Pd (0.906, 0.812, 0.568)
Pd (0.280, 0.560, 0.928)

Computed properties:
Crystal system: monoclinic
SG: C2/m

---

Which structure is the most stable? The one labeled model A.

---

Model A:
Ba3InPd | PBE | relaxed

a b c (Å): 6.139 6.139 6.139
angles (deg): 90.00 90.00 90.00
Positions (direct):
Ba (0.000, 0.500, 0.000)
Ba (0.000, 0.000, 0.500)
Ba (0.500, 0.000, 0.000)
In (0.500, 0.500, 0.500)
Pd (0.000, 0.000, 0.000)

Computed properties:
Crystal system: cubic
SG: Pm-3m

---

Model B:
Ba3InPd | PBE | relaxed

a b c (Å): 9.313 9.313 11.784
angles (deg): 57.74 57.74 29.30
Positions (direct):
Ba (0.594, 0.594, 0.048)
Ba (0.136, 0.136, 0.293)
Ba (0.169, 0.169, 0.684)
Ba (0.406, 0.406, 0.952)
Ba (0.831, 0.831, 0.316)
Ba (0.864, 0.864, 0.707)
Pd (0.766, 0.766, 0.065)
Pd (0.234, 0.234, 0.935)
In (0.562, 0.562, 0.577)
In (0.438, 0.438, 0.423)

Computed properties:
Crystal system: monoclinic
SG: C2/m

---

Which structure is the most stable? The one labeled model B.

---

Model A:
Ba2In2Pd | PBE | relaxed

a b c (Å): 7.581 7.581 5.613
angles (deg): 90.00 90.00 90.00
Positions (direct):
Ba (0.830, 0.330, 0.500)
Ba (0.670, 0.830, 0.500)
Ba (0.170, 0.670, 0.500)
Ba (0.330, 0.170, 0.500)
Pd (0.000, 0.000, 0.000)
Pd (0.500, 0.500, 0.000)
In (0.856, 0.644, 0.000)
In (0.144, 0.356, 0.000)
In (0.644, 0.144, 0.000)
In (0.356, 0.856, 0.000)

Computed properties:
Crystal system: tetragonal
SG: P4/mbm

---

Model B:
Ba2In2Pd | PBE | relaxed

a b c (Å): 4.555 6.802 11.872
angles (deg): 92.25 78.94 70.44
Positions (direct):
In (0.637, 0.843, 0.883)
In (0.363, 0.157, 0.117)
In (0.138, 0.167, 0.556)
In (0.862, 0.833, 0.444)
Pd (0.638, 0.049, 0.675)
Pd (0.362, 0.951, 0.325)
Ba (0.929, 0.263, 0.878)
Ba (0.350, 0.641, 0.659)
Ba (0.071, 0.737, 0.122)
Ba (0.650, 0.359, 0.341)

Computed properties:
Crystal system: monoclinic
SG: C2/m

---

Which structure is the most stable? The one labeled model B.

---

Model A:
Ba4InPd | PBE | relaxed

a b c (Å): 6.395 8.553 10.403
angles (deg): 90.00 116.41 90.00
Positions (direct):
Ba (0.440, 0.750, 0.561)
Ba (0.092, 0.984, 0.746)
Ba (0.908, 0.016, 0.254)
Ba (0.908, 0.484, 0.254)
Ba (0.560, 0.250, 0.439)
Ba (0.661, 0.250, 0.876)
Ba (0.092, 0.516, 0.746)
Ba (0.339, 0.750, 0.124)
Pd (0.157, 0.250, 0.543)
Pd (0.843, 0.750, 0.457)
In (0.697, 0.750, 0.930)
In (0.303, 0.250, 0.070)

Computed properties:
Crystal system: monoclinic
SG: P2_1/m

---

Model B:
Ba4InPd | PBE | relaxed

a b c (Å): 7.442 9.535 9.336
angles (deg): 114.38 105.85 104.22
Positions (direct):
Ba (0.791, 0.712, 0.658)
Ba (0.209, 0.288, 0.342)
Ba (0.976, 0.777, 0.133)
Ba (0.024, 0.223, 0.867)
Ba (0.657, 0.356, 0.133)
Ba (0.633, 0.053, 0.342)
Ba (0.343, 0.644, 0.867)
Ba (0.367, 0.947, 0.658)
In (0.383, 0.633, 0.266)
In (0.617, 0.367, 0.734)
Pd (0.250, 0.000, 0.001)
Pd (0.750, 0.000, 0.999)

Computed properties:
Crystal system: monoclinic
SG: C2/c

---

Which structure is the most stable? The one labeled model B.

---

Model A:
BaIn3Pd3 | PBE | relaxed

a b c (Å): 7.417 7.417 7.417
angles (deg): 90.00 90.00 90.00
Positions (direct):
In (0.500, 0.000, 0.750)
In (0.750, 0.500, 0.000)
In (0.500, 0.000, 0.250)
In (0.000, 0.750, 0.500)
In (0.000, 0.250, 0.500)
In (0.250, 0.500, 0.000)
Pd (0.750, 0.000, 0.500)
Pd (0.000, 0.500, 0.250)
Pd (0.500, 0.250, 0.000)
Pd (0.500, 0.750, 0.000)
Pd (0.000, 0.500, 0.750)
Pd (0.250, 0.000, 0.500)
Ba (0.000, 0.000, 0.000)
Ba (0.500, 0.500, 0.500)

Computed properties:
Crystal system: cubic
SG: Pm-3n

---

Model B:
BaIn3Pd3 | PBE | relaxed

a b c (Å): 7.282 7.282 8.718
angles (deg): 65.31 65.31 60.00
Positions (direct):
Pd (0.103, 0.858, 0.733)
Pd (0.694, 0.897, 0.267)
Pd (0.306, 0.103, 0.733)
Pd (0.858, 0.306, 0.733)
Pd (0.897, 0.142, 0.267)
Pd (0.142, 0.694, 0.267)
In (0.443, 0.276, 0.370)
In (0.276, 0.911, 0.370)
In (0.089, 0.557, 0.630)
In (0.724, 0.089, 0.630)
In (0.911, 0.443, 0.370)
In (0.557, 0.724, 0.630)
Ba (0.341, 0.341, 0.978)
Ba (0.659, 0.659, 0.022)

Computed properties:
Crystal system: trigonal
SG: R-3

---

Which structure is the most stable? The one labeled model B.

---

Model A:
BaTlIn2Pd | PBE | relaxed

a b c (Å): 5.299 5.299 5.433
angles (deg): 90.00 90.00 90.00
Positions (direct):
In (0.500, 0.000, 0.000)
In (0.000, 0.500, 0.000)
Pd (0.000, 0.000, 0.000)
Ba (0.500, 0.500, 0.500)
Tl (0.000, 0.000, 0.500)

Computed properties:
Crystal system: tetragonal
SG: P4/mmm

---

Model B:
BaTlIn2Pd | PBE | relaxed

a b c (Å): 5.276 5.276 5.931
angles (deg): 90.00 90.00 90.00
Positions (direct):
Tl (0.500, 0.500, 0.500)
In (0.000, 0.500, 0.000)
In (0.500, 0.000, 0.000)
Ba (0.000, 0.000, 0.500)
Pd (0.000, 0.000, 0.000)

Computed properties:
Crystal system: tetragonal
SG: P4/mmm

---

Which structure is the most stable? The one labeled model A.